Compound: NdTi3Rh3
Source: the Alexandria database
Functional: PBE
Structure: relaxed

Computed properties:
The density of states at the Fermi level comes out at 1.56 states/eV per atom. The calculation puts the formation energy at -2.1 kJ per mole of atoms. The calculation puts the total magnetization at 2.88 μB/cell.

a = 6.8085 Å, b = 6.8085 Å, c = 6.8085 Å
α = 90.00°, β = 90.00°, γ = 90.00°
Closest atoms and distances in Å follow each position.
Fractional coordinates of all 14 atoms:
Nd: 0.0000 0.0000 0.0000  12 Rh 3.81, 12 Ti 3.81
Nd: 0.5000 0.5000 0.5000  12 Rh 3.81, 12 Ti 3.81
Ti: 0.0000 0.2500 0.5000  4 Rh 2.41
Ti: 0.0000 0.7500 0.5000  4 Rh 2.41
Ti: 0.2500 0.5000 0.0000  4 Rh 2.41
Ti: 0.5000 0.0000 0.2500  4 Rh 2.41
Ti: 0.5000 0.0000 0.7500  4 Rh 2.41
Ti: 0.7500 0.5000 0.0000  4 Rh 2.41
Rh: 0.0000 0.5000 0.2500  4 Ti 2.41
Rh: 0.0000 0.5000 0.7500  4 Ti 2.41
Rh: 0.2500 0.0000 0.5000  4 Ti 2.41
Rh: 0.5000 0.2500 0.0000  4 Ti 2.41
Rh: 0.5000 0.7500 0.0000  4 Ti 2.41
Rh: 0.7500 0.0000 0.5000  4 Ti 2.41

Compound: Nd4Tl2Rh
Source: the Alexandria database
Functional: PBE
Structure: relaxed

Computed properties:
The density of states at the Fermi level comes out at 1.07 states/eV per atom. The calculation puts the formation energy at -28.4 kJ per mole of atoms. The calculation puts the total magnetization at 0.00 μB/cell.

a = 6.7422 Å, b = 3.7856 Å, c = 9.3593 Å
α = 90.00°, β = 111.01°, γ = 90.00°
Closest atoms and distances in Å follow each position.
Fractional coordinates of all 7 atoms:
Nd: 0.1217 0.0000 0.2532  1 Rh 2.76
Nd: 0.3306 0.5000 0.6531  2 Rh 2.85
Nd: 0.6694 0.5000 0.3469  2 Rh 2.85
Nd: 0.8783 0.0000 0.7468  1 Rh 2.76
Tl: 0.2662 0.5000 0.0018  1 Tl 3.16, 6 Nd 3.40-3.44
Tl: 0.7338 0.5000 0.9982  1 Tl 3.16, 6 Nd 3.40-3.44
Rh: 0.5000 0.0000 0.5000  6 Nd 2.76-2.85

Repeat the second record exactly.
Compound: Nd4Tl2Rh
Source: the Alexandria database
Functional: PBE
Structure: relaxed

Computed properties:
The density of states at the Fermi level comes out at 1.07 states/eV per atom. The calculation puts the formation energy at -28.4 kJ per mole of atoms. The calculation puts the total magnetization at 0.00 μB/cell.

a = 6.7422 Å, b = 3.7856 Å, c = 9.3593 Å
α = 90.00°, β = 111.01°, γ = 90.00°
Closest atoms and distances in Å follow each position.
Fractional coordinates of all 7 atoms:
Nd: 0.1217 0.0000 0.2532  1 Rh 2.76
Nd: 0.3306 0.5000 0.6531  2 Rh 2.85
Nd: 0.6694 0.5000 0.3469  2 Rh 2.85
Nd: 0.8783 0.0000 0.7468  1 Rh 2.76
Tl: 0.2662 0.5000 0.0018  1 Tl 3.16, 6 Nd 3.40-3.44
Tl: 0.7338 0.5000 0.9982  1 Tl 3.16, 6 Nd 3.40-3.44
Rh: 0.5000 0.0000 0.5000  6 Nd 2.76-2.85

Look up the total magnetization of the first one.
2.88 μB/cell

Among the records above, which one has the highest total magnetization?
NdTi3Rh3

The lowest total magnetization belongs to which entry?
Nd4Tl2Rh